The following is a DFT calculation (PBE) of a relaxed structure of TaMoBr.

a = 2.9625 Å, b = 4.4127 Å, c = 8.2050 Å
α = 90.00°, β = 90.00°, γ = 90.00°
Element x y z (fractional)
Ta1 0.0000 0.0000 0.0000
Ta2 0.5000 0.5000 0.5000
Mo1 0.0000 0.0000 0.3405
Mo2 0.5000 0.5000 0.8405
Br1 0.0000 0.0000 0.6725
Br2 0.5000 0.5000 0.1725

Properties
**Excess energy over the best structure of this formula in the dataset**: 0.3858 eV per atom
**SG**: Imm2 (44)
**Raw formation energy**: 806 meV per atom
**Volume**: 17.88 Å³/atom